Below is HgS6I after structural relaxation, with properties calculated at the PBE level.

## Properties
theoretical density = 3.02 Mg/m³
space group = P-1, No. 2
calculated volume = 35.782 Å³/atom
formation energy (no corrections) = 106 meV per atom

Cell lengths 5.6704, 6.6449, 8.0673 Å; angles 83.97, 82.66, 72.15 degrees
Fractional coordinates of all 8 atoms:
Hg (0.0000, 0.0000, 0.0000)
S (0.0982, 0.3988, 0.1999)
S (0.2042, 0.0693, 0.2194)
S (0.3985, 0.4967, 0.1793)
S (0.6015, 0.5033, 0.8207)
S (0.7958, 0.9307, 0.7806)
S (0.9018, 0.6012, 0.8001)
I (0.5000, 0.5000, 0.5000)



Below is HgS2I after structural relaxation, with properties calculated at the PBE level.

## Properties
theoretical density = 7.29 Mg/m³
space group = Fm-3m, No. 225
calculated volume = 22.291 Å³/atom
formation energy (no corrections) = 763 meV per atom

Cell lengths 7.0917, 7.0917, 7.0917 Å; angles 90.00, 90.00, 90.00 degrees
Fractional coordinates of all 16 atoms:
Hg (0.0000, 0.0000, 0.0000)
Hg (0.0000, 0.5000, 0.5000)
Hg (0.5000, 0.0000, 0.5000)
Hg (0.5000, 0.5000, 0.0000)
S (0.2500, 0.2500, 0.2500)
S (0.2500, 0.2500, 0.7500)
S (0.2500, 0.7500, 0.2500)
S (0.2500, 0.7500, 0.7500)
S (0.7500, 0.2500, 0.2500)
S (0.7500, 0.2500, 0.7500)
S (0.7500, 0.7500, 0.2500)
S (0.7500, 0.7500, 0.7500)
I (0.0000, 0.0000, 0.5000)
I (0.0000, 0.5000, 0.0000)
I (0.5000, 0.0000, 0.0000)
I (0.5000, 0.5000, 0.5000)



Below is HgSI after structural relaxation, with properties calculated at the PBE level.

## Properties
theoretical density = 5.22 Mg/m³
space group = P1, No. 1
calculated volume = 38.091 Å³/atom
formation energy (no corrections) = -137 meV per atom

Cell lengths 4.4548, 7.0913, 7.9539 Å; angles 108.50, 105.47, 90.29 degrees
Fractional coordinates of all 6 atoms:
Hg (0.0000, 0.0000, 0.0000)
Hg (0.3348, 0.3895, 0.6752)
S (0.4635, 0.0465, 0.2582)
S (0.5438, 0.3409, 0.4141)
I (0.1283, 0.4870, 0.9794)
I (0.5018, 0.9003, 0.6957)



Q: formation energy (no corrections) of number 2 (HgS2I)?
A: 763 meV per atom